The following is a DFT calculation (PBE with a Hubbard U) of SrMn2GeO8 after structural relaxation.

Cell lengths 5.1212, 5.1212, 7.0643 Å; angles 90.00, 90.00, 120.00 degrees
Space group P-3 (No. 147)
Symmetry-distinct sites (fractional):
Sr 0.0000 0.0000 0.0000
Mn 0.3333 0.6667 0.7312
Ge 0.0000 0.0000 0.5000
O 0.0424 0.3103 0.6673
O 0.3333 0.6667 0.9664

Volume, A^3/atom: 13.37
Raw total energy, eV/atom: -6.46
Total magnetization, μB per atom: 0.33